# 1
Entry from Alexandria via LeMat-Bulk: an optimized crystal structure of AlC2 (GGA-PBE).

Values from the calculation:
E_form   1620 meV/atom
V   8.3 Å³ per atom
Space-group type   P4/nmm (129)

abc: 2.772 2.772 6.475
angles: 90.00 90.00 90.00
Element x y z (fractional)
C 0.000 0.500 0.550
C 0.000 0.000 0.000
C 0.500 0.000 0.450
C 0.500 0.500 0.000
Al 0.500 0.000 0.753
Al 0.000 0.500 0.247

# 2
Entry from Alexandria via LeMat-Bulk: an optimized crystal structure of RhWN2 (GGA-PBE).

Values from the calculation:
ΔE_f (raw)   89 meV per atom
V   12.8 Å³ per atom
Space-group type   I-42d (122)

abc: 4.668 4.668 5.756
angles: 66.08 66.08 90.00
Element x y z (fractional)
W 0.750 0.250 0.500
W 0.000 0.000 0.000
N 0.375 0.339 0.750
N 0.089 0.625 0.250
N 0.661 0.125 0.250
N 0.875 0.911 0.750
Rh 0.250 0.750 0.500
Rh 0.500 0.500 0.000

# 3
Entry from Alexandria via LeMat-Bulk: an optimized crystal structure of Y8AgIr2 (GGA-PBE).

Values from the calculation:
E_form   -354 meV/atom
V   27.7 Å³ per atom
Space-group type   Cm (8)

abc: 5.601 7.809 7.809
angles: 112.76 97.88 97.88
Element x y z (fractional)
Y 0.411 0.673 0.933
Y 0.589 0.334 0.073
Y 0.804 0.624 0.624
Y 0.000 0.762 0.245
Y 0.589 0.073 0.334
Y 0.000 0.245 0.762
Y 0.411 0.933 0.673
Y 0.195 0.381 0.381
Ir 0.500 0.312 0.694
Ir 0.500 0.694 0.312
Ag 0.002 0.003 0.003

# 4
Entry from Alexandria via LeMat-Bulk: an optimized crystal structure of DyHfO (GGA-PBE).

Values from the calculation:
ΔE_f (raw)   -1712 meV per atom
V   19.0 Å³ per atom
Space-group type   Pbcm (57)

abc: 5.535 5.210 7.911
angles: 90.00 90.00 90.00
Element x y z (fractional)
Dy 0.473 0.250 0.167
Dy 0.973 0.250 0.833
Dy 0.027 0.750 0.167
Dy 0.527 0.750 0.833
Hf 0.075 0.750 0.583
Hf 0.575 0.750 0.417
Hf 0.925 0.250 0.417
Hf 0.425 0.250 0.583
O 0.750 0.000 0.622
O 0.250 0.000 0.378
O 0.750 0.500 0.622
O 0.250 0.500 0.378

# 5
Entry from Alexandria via LeMat-Bulk: an optimized crystal structure of Ho3Al9Ir2 (GGA-PBE).

Values from the calculation:
E_form   -659 meV/atom
V   18.2 Å³ per atom
Space-group type   Immm (71)

abc: 4.295 8.108 8.108
angles: 73.31 74.64 74.64
Element x y z (fractional)
Al 0.130 0.154 0.585
Al 0.870 0.415 0.846
Al 0.870 0.846 0.415
Al 0.130 0.585 0.154
Al 0.350 0.287 0.012
Al 0.650 0.713 0.988
Al 0.000 0.500 0.500
Al 0.350 0.012 0.287
Al 0.650 0.988 0.713
Ir 0.500 0.323 0.677
Ir 0.500 0.677 0.323
Ho 0.000 0.000 0.000
Ho 0.295 0.705 0.705
Ho 0.705 0.295 0.295

# 6
Entry from Alexandria via LeMat-Bulk: an optimized crystal structure of Ce2EuTl (GGA-PBE).

Values from the calculation:
E_form   90 meV/atom
V   30.5 Å³ per atom
Space-group type   Fm-3m (225)

abc: 5.570 5.570 5.570
angles: 60.00 60.00 60.00
Element x y z (fractional)
Tl 0.500 0.500 0.500
Ce 0.750 0.750 0.750
Ce 0.250 0.250 0.250
Eu 0.000 0.000 0.000

Number 1: calculated density 3.41 Mg/m³. Number 2: calculated density 10.17 Mg/m³. Number 3: calculated density 6.55 Mg/m³. Number 4: calculated density 10.39 Mg/m³. Number 5: calculated density 7.30 Mg/m³. Number 6: calculated density 8.65 Mg/m³.